(1)
YTeRu4: relaxed, PBE-GGA.

Geometry as extended XYZ:
```
6
Lattice="0.000 3.755 3.755 3.755 0.000 3.755 3.755 3.755 0.000" Properties=species:S:1:pos:R:3 pbc="T T T"
Y 0.000 0.000 0.000
Te 1.877 1.877 1.877
Ru 4.688 2.821 2.821
Ru 2.821 4.688 2.821
Ru 2.821 2.821 4.688
Ru 4.688 4.688 4.688
```

ΔE_f (raw) = 127 meV/atom
Spin magnetization = 0.000 μB per atom
Fermi-level density of states = 9.80 states/eV/cell
Raw total energy = -45.94 eV per cell

(2)
Ba2TlRe: relaxed, PBE-GGA.

Geometry as extended XYZ:
```
4
Lattice="2.566 -2.572 0.000 2.566 2.572 0.000 0.000 0.000 9.863" Properties=species:S:1:pos:R:3 pbc="T T T"
Ba 0.000 0.000 2.090
Ba 0.000 0.000 7.773
Tl 2.566 0.000 4.931
Re 2.566 0.000 0.000
```

Formation energy from the elements = 0.7534 eV per atom
Spin magnetization = 0.332 μB per atom
Fermi-level density of states = 5.10 states/eV/cell
Raw total energy = -15.65 eV per cell

(3)
GaReBr3: relaxed, PBE-GGA.

Geometry as extended XYZ:
```
5
Lattice="5.217 0.000 0.000 0.000 5.217 0.000 0.000 0.000 5.217" Properties=species:S:1:pos:R:3 pbc="T T T"
Ga 0.000 0.000 0.000
Re 2.609 2.609 2.609
Br 0.000 2.609 2.609
Br 2.609 0.000 2.609
Br 2.609 2.609 0.000
```

ΔE_f (raw) = 320 meV/atom
Spin magnetization = 0.588 μB per atom
Fermi-level density of states = 2.37 states/eV/cell
Raw total energy = -18.89 eV per cell

(4)
Ti3GePt: relaxed, PBE-GGA.

Geometry as extended XYZ:
```
20
Lattice="4.971 -3.210 0.000 4.971 3.210 0.000 -1.721 0.000 11.023" Properties=species:S:1:pos:R:3 pbc="T T T"
Ti 0.062 0.289 8.986
Ti 1.723 0.660 6.560
Ti 0.923 -0.289 3.475
Ti 3.226 1.827 10.759
Ti 4.135 1.827 5.775
Ti 2.584 -0.660 1.048
Ti 5.638 0.660 9.974
Ti 4.087 -1.827 5.248
Ti 4.995 -1.827 0.264
Ti 7.299 0.289 7.548
Ti 6.498 -0.660 4.463
Ti 8.159 -0.289 2.036
Ge 2.486 1.605 0.000
Ge 3.680 1.324 8.267
Ge 1.625 -1.605 5.511
Ge 4.541 -1.324 2.756
Pt 3.317 0.775 3.634
Pt 5.765 0.775 1.877
Pt 2.457 -0.775 9.145
Pt 4.904 -0.775 7.389
```

Formation energy from the elements = -0.3747 eV per atom
Spin magnetization = 0.000 μB per atom
Fermi-level density of states = 19.44 states/eV/cell
Raw total energy = -144.86 eV per cell

(5)
LiCrIn2: relaxed, PBE-GGA.

Geometry as extended XYZ:
```
4
Lattice="-2.104 2.104 4.402 2.104 -2.104 4.402 2.104 2.104 -4.402" Properties=species:S:1:pos:R:3 pbc="T T T"
Li 0.000 0.000 0.000
Cr 2.104 0.000 2.201
In 0.000 0.000 4.402
In 0.000 2.104 2.201
```

Formation energy from the elements = 0.1286 eV per atom
Spin magnetization = 0.926 μB per atom
Fermi-level density of states = 1.58 states/eV/cell
Raw total energy = -16.50 eV per cell

(6)
Pm2Sn8Rh: relaxed, PBE-GGA.

Geometry as extended XYZ:
```
11
Lattice="10.154 -2.200 0.000 10.154 2.200 0.000 -1.916 0.000 6.532" Properties=species:S:1:pos:R:3 pbc="T T T"
Pm 3.518 0.000 0.703
Pm 14.875 0.000 5.829
Sn -1.145 0.000 5.061
Sn 3.069 0.000 3.953
Sn 7.053 0.000 1.533
Sn 6.786 0.000 4.522
Sn 11.607 0.000 2.010
Sn 11.340 0.000 5.000
Sn 15.324 0.000 2.579
Sn 19.538 0.000 1.471
Rh 9.197 0.000 3.266
```

Formation energy from the elements = -0.3986 eV per atom
Spin magnetization = 0.000 μB per atom
Fermi-level density of states = 5.05 states/eV/cell
Raw total energy = -53.26 eV per cell